1.
## PmCu3Sn2 (PBE)

Data for a relaxed structure of PmCu3Sn2.

space group = C2/m (12)
theoretical density = 7.9 Mg/m³
energy of formation from the pure elements = -0.2814 eV/atom

a = 4.3866 Å, b = 8.4265 Å, c = 7.5065 Å
α = 115.14°, β = 90.00°, γ = 105.09°
Atoms (fractional coordinates):
Cu 0.2991 0.5983 0.5237
Cu 0.0043 0.0086 0.6635
Cu 0.9957 0.9914 0.3365
Cu 0.5873 0.1745 0.6322
Cu 0.4127 0.8255 0.3678
Cu 0.7009 0.4017 0.4763
Sn 0.8128 0.6255 0.3092
Sn 0.4703 0.9406 0.7915
Sn 0.5297 0.0594 0.2085
Sn 0.1872 0.3745 0.6908
Pm 0.8514 0.7028 0.9042
Pm 0.1486 0.2972 0.0958

2.
## TaCr2Cl (PBE)

Data for a relaxed structure of TaCr2Cl.

space group = P4mm (99)
theoretical density = 8.0 Mg/m³
distance to the lowest polymorph of the same formula = 111 meV per atom
energy relative to the elements, uncorrected = 200 meV per atom

a = 2.9541 Å, b = 2.9541 Å, c = 7.6257 Å
α = 90.00°, β = 90.00°, γ = 90.00°
Each line ends with the local moment (μB).
Atoms (fractional coordinates):
Cl 0.5000 0.5000 0.7087  -0.01
Cr 0.0000 0.0000 0.0790  2.29
Cr 0.5000 0.5000 0.2393  -1.47
Ta 0.0000 0.0000 0.4730  -0.12